Entry 1:
Computed, not measured: a relaxed structure of BaAl4Cd at the PBE level of DFT.

Calculated values
- DFT formation energy (eV per atom) = 0.04

Unit cell a=5.839 b=5.839 c=5.839 alpha=60.00 beta=60.00 gamma=60.00
Positions (direct):
Ba: 0.000 0.000 0.000
Al: 0.375 0.375 0.375
Al: 0.375 0.375 0.876
Al: 0.375 0.876 0.375
Al: 0.876 0.375 0.375
Cd: 0.750 0.750 0.750


Entry 2:
Computed, not measured: a relaxed structure of Ba2AlCd6Cu at the PBE level of DFT.

Calculated values
- DFT formation energy (eV per atom) = -0.17

Unit cell a=7.165 b=7.173 c=7.564 alpha=89.94 beta=61.76 gamma=60.04
Positions (direct):
Ba: 0.081 0.211 0.131
Ba: 0.919 0.789 0.869
Al: 0.500 0.500 0.000
Cd: 0.011 0.244 0.661
Cd: 0.415 0.757 0.340
Cd: 0.417 0.328 0.339
Cd: 0.583 0.672 0.661
Cd: 0.585 0.243 0.660
Cd: 0.989 0.756 0.339
Cu: 0.500 0.000 0.500


Entry 3:
Computed, not measured: a relaxed structure of BaAlCd2Cu at the PBE level of DFT.

Calculated values
- DFT formation energy (eV per atom) = -0.08

Unit cell a=5.170 b=5.170 c=4.855 alpha=90.00 beta=90.00 gamma=90.00
Positions (direct):
Ba: 0.000 0.000 0.000
Al: 0.500 0.500 0.000
Cd: 0.000 0.500 0.500
Cd: 0.500 0.000 0.500
Cu: 0.500 0.500 0.500


| no. | V (Å³ per cell) |
| --- | --- |
| 1 | 140.8 |
| 2 | 282.3 |
| 3 | 129.8 |